Density functional theory data (PBE-GGA) for a geometry-optimized La2NdEr2 structure.

## Properties
E above lowest polymorph	0.055	eV/atom
space group	P4/mbm, No. 127
volume	34.64	A^3/atom

The structure in POSCAR format:
```
La2NdEr2
1.0
9.430 0.000 0.000
0.000 9.430 0.000
0.000 0.000 3.896
La Nd Er
4 2 4
direct
0.128 0.372 0.000
0.372 0.872 0.000
0.628 0.128 0.000
0.872 0.628 0.000
0.000 0.000 0.000
0.500 0.500 0.000
0.171 0.671 0.500
0.329 0.171 0.500
0.671 0.829 0.500
0.829 0.329 0.500
```